# 1
VASP calculation (PBE-GGA) on a geometry-optimized CaCrCu2 structure.

The calculation puts the formation enthalpy at 0 K at 2.0 eV/f.u. The calculation puts the relative energy among the computed polymorphs at 0.306 eV/atom.

CIF file:
```
data_CaCrCu2
_symmetry_space_group_name_H-M 'I 41/a m d'
_symmetry_Int_Tables_number 141
_cell_length_a 4.641
_cell_length_b 4.641
_cell_length_c 17.322
_cell_angle_alpha 90.00
_cell_angle_beta 90.00
_cell_angle_gamma 90.00
loop_
_symmetry_equiv_pos_as_xyz
'x,y,z'
'-x,-y,-z'
'-y+1/4,x+3/4,z+1/4'
'y+1/4,-x+3/4,-z+1/4'
'-x+1/2,-y,z+1/2'
'x+1/2,y,-z+1/2'
'y+1/4,-x+1/4,z+3/4'
'-y+1/4,x+1/4,-z+3/4'
'x,-y,-z'
'-x,y,z'
'-y+1/4,-x+1/4,-z+3/4'
'y+1/4,x+1/4,z+3/4'
'-x+1/2,y,-z+1/2'
'x+1/2,-y,z+1/2'
'y+1/4,x+3/4,-z+1/4'
'-y+1/4,-x+3/4,z+1/4'
'x+1/2,y+1/2,z+1/2'
'-x+1/2,-y+1/2,-z+1/2'
'-y+3/4,x+1/4,z+3/4'
'y+3/4,-x+1/4,-z+3/4'
'-x,-y+1/2,z'
'x,y+1/2,-z'
'y+3/4,-x+3/4,z+1/4'
'-y+3/4,x+3/4,-z+1/4'
'x+1/2,-y+1/2,-z+1/2'
'-x+1/2,y+1/2,z+1/2'
'-y+3/4,-x+3/4,-z+1/4'
'y+3/4,x+3/4,z+1/4'
'-x,y+1/2,-z'
'x,-y+1/2,z'
'y+3/4,x+1/4,-z+3/4'
'-y+3/4,-x+1/4,z+3/4'
loop_
_atom_site_label
_atom_site_fract_x
_atom_site_fract_y
_atom_site_fract_z
Ca1 0.000 0.250 0.375
Cr1 0.000 0.250 0.875
Cu1 0.000 0.000 0.000
```


# 2
VASP calculation (PBE-GGA) on a geometry-optimized CaCr2Cu structure.

The calculation puts the formation enthalpy at 0 K at 3.6 eV/f.u. The calculation puts the relative energy among the computed polymorphs at 0.545 eV/atom.

CIF file:
```
data_CaCr2Cu
_symmetry_space_group_name_H-M 'R -3 m'
_symmetry_Int_Tables_number 166
_symmetry_space_group_name_Hall '-R 3 2"'
_cell_length_a 3.1765
_cell_length_b 3.1765
_cell_length_c 27.2159
_cell_angle_alpha 90.00
_cell_angle_beta 90.00
_cell_angle_gamma 120.00
loop_
_atom_site_label
_atom_site_fract_x
_atom_site_fract_y
_atom_site_fract_z
Ca1 0.0000 0.0000 0.0000
Cr1 0.0000 0.0000 0.2360
Cu1 0.0000 0.0000 0.5000
```


# 3
VASP calculation (PBE-GGA) on a geometry-optimized CaCrCu2 structure.

The calculation puts the formation enthalpy at 0 K at 0.8 eV/f.u. The calculation puts the relative energy among the computed polymorphs at 0.000 eV/atom.

CIF file:
```
data_CaCrCu2
_symmetry_space_group_name_H-M 'C 1 2/m 1'
_symmetry_Int_Tables_number 12
_symmetry_space_group_name_Hall '-C 2y'
_cell_length_a 7.451
_cell_length_b 4.308
_cell_length_c 5.492
_cell_angle_alpha 90.00
_cell_angle_beta 116.78
_cell_angle_gamma 90.00
loop_
_atom_site_label
_atom_site_fract_x
_atom_site_fract_y
_atom_site_fract_z
Ca1 0.000 0.000 0.000
Cr1 0.000 0.500 0.500
Cu1 0.196 0.000 0.589
```


# 4
VASP calculation (PBE-GGA) on a geometry-optimized Ca4CrCu structure.

The calculation puts the formation enthalpy at 0 K at 5.1 eV/f.u.

CIF file:
```
data_Ca4CrCu
_symmetry_space_group_name_H-M 'F -4 3 m'
_symmetry_Int_Tables_number 216
_symmetry_space_group_name_Hall 'F -4 2 3'
_cell_length_a 9.314
_cell_length_b 9.314
_cell_length_c 9.314
_cell_angle_alpha 90.00
_cell_angle_beta 90.00
_cell_angle_gamma 90.00
loop_
_atom_site_label
_atom_site_fract_x
_atom_site_fract_y
_atom_site_fract_z
Ca1 0.125 0.125 0.125
Cr1 0.250 0.250 0.750
Cu1 0.000 0.000 0.500
```


# 5
VASP calculation (PBE-GGA) on a geometry-optimized CaCr2Cu structure.

The calculation puts the formation enthalpy at 0 K at 3.7 eV/f.u. The calculation puts the relative energy among the computed polymorphs at 0.562 eV/atom.

CIF file:
```
data_CaCr2Cu
_symmetry_space_group_name_H-M 'I 41/a m d'
_symmetry_Int_Tables_number 141
_cell_length_a 4.084
_cell_length_b 4.084
_cell_length_c 18.743
_cell_angle_alpha 90.00
_cell_angle_beta 90.00
_cell_angle_gamma 90.00
loop_
_symmetry_equiv_pos_as_xyz
'x,y,z'
'-x,-y,-z'
'-y+1/4,x+3/4,z+1/4'
'y+1/4,-x+3/4,-z+1/4'
'-x+1/2,-y,z+1/2'
'x+1/2,y,-z+1/2'
'y+1/4,-x+1/4,z+3/4'
'-y+1/4,x+1/4,-z+3/4'
'x,-y,-z'
'-x,y,z'
'-y+1/4,-x+1/4,-z+3/4'
'y+1/4,x+1/4,z+3/4'
'-x+1/2,y,-z+1/2'
'x+1/2,-y,z+1/2'
'y+1/4,x+3/4,-z+1/4'
'-y+1/4,-x+3/4,z+1/4'
'x+1/2,y+1/2,z+1/2'
'-x+1/2,-y+1/2,-z+1/2'
'-y+3/4,x+1/4,z+3/4'
'y+3/4,-x+1/4,-z+3/4'
'-x,-y+1/2,z'
'x,y+1/2,-z'
'y+3/4,-x+3/4,z+1/4'
'-y+3/4,x+3/4,-z+1/4'
'x+1/2,-y+1/2,-z+1/2'
'-x+1/2,y+1/2,z+1/2'
'-y+3/4,-x+3/4,-z+1/4'
'y+3/4,x+3/4,z+1/4'
'-x,y+1/2,-z'
'x,-y+1/2,z'
'y+3/4,x+1/4,-z+3/4'
'-y+3/4,-x+1/4,z+3/4'
loop_
_atom_site_label
_atom_site_fract_x
_atom_site_fract_y
_atom_site_fract_z
Ca1 0.000 0.250 0.375
Cr1 0.000 0.000 0.000
Cu1 0.000 0.250 0.875
```


# 6
VASP calculation (PBE-GGA) on a geometry-optimized CaCr2Cu structure.

The calculation puts the formation enthalpy at 0 K at 3.0 eV/f.u. The calculation puts the relative energy among the computed polymorphs at 0.399 eV/atom.

CIF file:
```
data_CaCr2Cu
_symmetry_space_group_name_H-M 'F m -3 m'
_symmetry_Int_Tables_number 225
_symmetry_space_group_name_Hall '-F 4 2 3'
_cell_length_a 6.649
_cell_length_b 6.649
_cell_length_c 6.649
_cell_angle_alpha 90.00
_cell_angle_beta 90.00
_cell_angle_gamma 90.00
loop_
_atom_site_label
_atom_site_fract_x
_atom_site_fract_y
_atom_site_fract_z
Ca1 0.000 0.000 0.000
Cr1 0.250 0.250 0.250
Cu1 0.000 0.000 0.500
```


# 7
VASP calculation (PBE-GGA) on a geometry-optimized CaCrCu2 structure.

The calculation puts the formation enthalpy at 0 K at 1.4 eV/f.u. The calculation puts the relative energy among the computed polymorphs at 0.159 eV/atom.

CIF file:
```
data_CaCrCu2
_symmetry_space_group_name_H-M 'I -4 m 2'
_symmetry_Int_Tables_number 119
_symmetry_space_group_name_Hall 'I -4 -2'
_cell_length_a 4.046
_cell_length_b 4.046
_cell_length_c 8.562
_cell_angle_alpha 90.00
_cell_angle_beta 90.00
_cell_angle_gamma 90.00
loop_
_atom_site_label
_atom_site_fract_x
_atom_site_fract_y
_atom_site_fract_z
Ca1 0.000 0.000 0.000
Cr1 0.000 0.500 0.750
Cu1 0.000 0.000 0.500
Cu2 0.000 0.500 0.250
```


# 8
VASP calculation (PBE-GGA) on a geometry-optimized CaCr2Cu structure.

The calculation puts the formation enthalpy at 0 K at 2.1 eV/f.u. The calculation puts the relative energy among the computed polymorphs at 0.153 eV/atom.

CIF file:
```
data_CaCr2Cu
_symmetry_space_group_name_H-M 'I -4 m 2'
_symmetry_Int_Tables_number 119
_symmetry_space_group_name_Hall 'I -4 -2'
_cell_length_a 4.657
_cell_length_b 4.657
_cell_length_c 6.636
_cell_angle_alpha 90.00
_cell_angle_beta 90.00
_cell_angle_gamma 90.00
loop_
_atom_site_label
_atom_site_fract_x
_atom_site_fract_y
_atom_site_fract_z
Ca1 0.000 0.000 0.000
Cr1 0.000 0.000 0.500
Cr2 0.000 0.500 0.250
Cu1 0.000 0.500 0.750
```


In the order shown, the computed DFT total energy values come out to -71.1 -65.1 -38.0 -66.5 -86.6 -89.2 -36.7 -46.6 eV per cell.